Record 1
Density functional theory data (PBE) for crystalline CuPRu2 at its relaxed geometry.

Values from the calculation:
Energy of formation from the pure elements   304.2 meV per atom
Calculated total energy   -6.710 eV per atom
Space-group type   F-43m, No. 216

Lattice parameters (Å, degrees): 4.232 4.232 4.232 60.00 60.00 60.00
Element x y z (fractional)
Cu  0.500  0.500  0.500
P  0.750  0.750  0.750
Ru  0.000  0.000  0.000
Ru  0.250  0.250  0.250


Record 2
Density functional theory data (PBE) for crystalline PPbN2 at its relaxed geometry.

Values from the calculation:
ΔE_f (raw)   1.771 eV per atom
Calculated total energy   -4.672 eV per atom
Space-group type   Fm-3m, No. 225

Lattice parameters (Å, degrees): 4.197 4.197 4.197 60.00 60.00 60.00
Element x y z (fractional)
Pb  0.500  0.500  0.500
P  0.000  0.000  0.000
N  0.250  0.250  0.250
N  0.750  0.750  0.750


Record 3
Density functional theory data (PBE) for crystalline NaPm2Au3 at its relaxed geometry.

Values from the calculation:
Energy of formation from the pure elements   -662.6 meV per atom
Calculated total energy   -4.105 eV per atom
Space-group type   P-3m1, No. 164

Lattice parameters (Å, degrees): 5.152 5.152 12.531 90.00 90.00 120.00
Element x y z (fractional)
Na  0.333  0.667  0.669
Na  0.667  0.333  0.331
Pm  0.000  0.000  0.500
Pm  0.333  0.667  0.182
Pm  0.667  0.333  0.818
Pm  0.000  0.000  0.000
Au  0.333  0.667  0.429
Au  0.667  0.333  0.069
Au  0.000  0.000  0.754
Au  0.000  0.000  0.246
Au  0.333  0.667  0.931
Au  0.667  0.333  0.571


Computed calculated density, in the same sequence as the records: 9.19; 8.46; 10.42 g/cm³.